Record 1
! GGA-PBE PrDy2Cd2, relaxed; values from VASP
! **Relative energy among the computed polymorphs**: 0.1902 eV per atom
! **D(E_F)**: 7.38 states/eV/f.u.
! **Calculated volume**: 30.85 Å³/atom
! **Calculated density**: 7.44 g cm⁻³
! **Symmetry**: C2/m (12)
&SYSTEM
  ibrav = 0, nat = 10, ntyp = 3
/
ATOMIC_SPECIES
Pr 140.91 Pr.upf
Dy 162.50 Dy.upf
Cd 112.41 Cd.upf
CELL_PARAMETERS angstrom
6.983 0.000 0.000
0.000 6.890 0.000
-3.013 0.000 6.412
ATOMIC_POSITIONS angstrom
Pr 0.000 0.000 0.000
Pr 3.491 3.445 0.000
Dy -1.506 1.723 3.206
Dy -1.506 5.167 3.206
Dy 1.985 1.722 3.206
Dy 1.985 5.168 3.206
Cd 0.265 3.445 1.312
Cd 0.214 0.000 5.100
Cd 3.756 0.000 1.312
Cd 3.705 3.445 5.100

---

Record 2
! GGA-PBE PrDy2Cd3, relaxed; values from VASP
! **D(E_F)**: 7.18 states/eV/f.u.
! **Calculated volume**: 27.24 Å³/atom
! **Calculated density**: 8.16 g cm⁻³
! **Symmetry**: Cmmm (65)
! **Final energy**: -3.101 eV per atom
&SYSTEM
  ibrav = 0, nat = 12, ntyp = 3
/
ATOMIC_SPECIES
Pr 140.91 Pr.upf
Dy 162.50 Dy.upf
Cd 112.41 Cd.upf
CELL_PARAMETERS angstrom
2.661 -8.002 0.000
2.661 8.002 0.000
0.000 0.000 7.677
ATOMIC_POSITIONS angstrom
Pr 2.661 5.353 0.000
Pr 2.661 -5.353 0.000
Dy 2.661 5.297 3.838
Dy 2.661 0.000 0.000
Dy 2.661 0.000 3.838
Dy 2.661 -5.297 3.838
Cd 0.000 0.000 2.016
Cd 0.000 0.000 5.661
Cd 2.661 2.611 2.015
Cd 2.661 2.611 5.661
Cd 2.661 -2.611 2.015
Cd 2.661 -2.611 5.661

---

Record 3
! GGA-PBE Pr3Dy4Cd, relaxed; values from VASP
! **Relative energy among the computed polymorphs**: 0.0391 eV per atom
! **D(E_F)**: 12.37 states/eV/f.u.
! **Calculated volume**: 31.59 Å³/atom
! **Calculated density**: 7.79 g cm⁻³
! **Symmetry**: Pmmn (59)
&SYSTEM
  ibrav = 0, nat = 16, ntyp = 3
/
ATOMIC_SPECIES
Pr 140.91 Pr.upf
Dy 162.50 Dy.upf
Cd 112.41 Cd.upf
CELL_PARAMETERS angstrom
4.967 0.000 0.000
0.000 10.048 0.000
0.000 0.000 10.129
ATOMIC_POSITIONS angstrom
Pr 1.242 0.047 1.243
Pr 1.242 2.512 8.850
Pr 1.242 4.977 1.243
Pr 3.725 5.071 8.886
Pr 3.725 7.536 1.279
Pr 3.725 10.001 8.886
Dy 1.242 2.512 3.803
Dy 1.242 5.061 6.318
Dy 1.242 7.536 3.810
Dy 1.242 10.011 6.318
Dy 3.725 0.037 3.811
Dy 3.725 2.512 6.318
Dy 3.725 4.987 3.811
Dy 3.725 7.536 6.326
Cd 1.242 7.536 8.749
Cd 3.725 2.512 1.380